No. 1
ScGe2Bi4 | Alexandria | PBE-GGA | relaxed; ΔE_f = 29.9 kJ/mol of atoms; space group = I4/mmm; M_tot = 0.00 μB per cell
1.0
-4.2251 -3.3804 1.8299
0.4716 -3.1546 -4.7385
2.8631 -7.4346 1.7917
Sc Ge Bi
1 2 4
direct
0.0000 0.0000 0.0000 Sc
0.5972 0.5972 0.8056 Ge
0.4028 0.4028 0.1944 Ge
0.7917 0.7917 0.4165 Bi
0.2083 0.2083 0.5835 Bi
0.0000 0.5000 0.0000 Bi
0.5000 0.0000 0.0000 Bi

=====

No. 2
ZrCrGe | Alexandria | PBE-GGA | relaxed; ΔE_f = -18.1 kJ/mol of atoms; space group = Pm; M_tot = 0.00 μB per cell
1.0
3.1518 0.0000 -0.0013
0.0000 4.0748 0.0000
-0.0946 0.0000 7.9367
Cr Ge Zr
2 2 2
direct
0.6527 0.5000 0.7036 Cr
0.9664 0.0000 0.7945 Cr
0.7551 0.5000 0.3577 Ge
0.1483 0.5000 0.9592 Ge
0.2554 0.0000 0.5037 Zr
0.6207 0.0000 0.1112 Zr

=====

No. 3
KAlSi2 | Alexandria | PBE-GGA | relaxed; space group = I-4m2; energy = -3.24 eV/atom; M_tot = 0.00 μB per cell
1.0
-5.3181 0.8321 -0.4241
-1.9124 -2.2708 -4.5101
3.0837 -1.8929 4.0078
K Si Al
1 2 1
direct
0.7500 0.2500 0.5000 K
0.0000 0.0000 0.0000 Si
0.2500 0.7500 0.5000 Si
0.5000 0.5000 0.0000 Al

=====

No. 4
Ba3PIO | Alexandria | PBE-GGA | relaxed; space group = C2/m; energy = -4.60 eV/atom; M_tot = 0.00 μB per cell
1.0
-3.0191 4.1106 1.1312
2.0367 -4.0688 8.1576
7.5025 5.8802 -1.3439
Ba P I O
6 2 2 2
direct
0.8581 0.7161 0.2194 Ba
0.8403 0.6806 0.6364 Ba
0.5077 0.0155 0.2990 Ba
0.1597 0.3194 0.3636 Ba
0.4923 0.9845 0.7010 Ba
0.1419 0.2839 0.7806 Ba
0.6510 0.3021 0.5745 P
0.3490 0.6979 0.4255 P
0.3529 0.7058 0.9346 I
0.6471 0.2942 0.0654 I
0.0014 0.0027 0.2693 O
0.9986 0.9973 0.7307 O

=====

> Look up the M_tot of the first one.

0.00 μB per cell

=====

> What is the formula in the fourth record?

Ba3PIO

=====

> Which value of M_tot does entry 2 give?

0.00 μB per cell